(1)
Here is crystalline KSbAs2 at its relaxed geometry from Alexandria. Energies are from GGA-PBEsol.

Results
E = -58.988 eV for the cell shown
DOS at the Fermi energy = 0.632 states/eV/atom
ΔE_f (raw) = 289 meV per atom
size of the total moment = 0.00 μB per atom

Cell lengths 7.271, 7.271, 7.271 Å; angles 90.00, 90.00, 90.00 degrees
Space group F-43m (No. 216)
One atom of each set of equivalent atoms:
K 0.000 0.000 0.000
Sb 0.250 0.250 0.750
As 0.000 0.000 0.500
As 0.250 0.250 0.250


(2)
Here is crystalline FePt2Au at its relaxed geometry from Alexandria. Energies are from GGA-PBEsol.

Results
energy of formation = -66 meV per atom
distance to the lowest polymorph of the same formula = 41 meV/atom
E = -54.158 eV for the cell shown
DOS at the Fermi energy = 0.543 states/eV/atom
size of the total moment = 0.96 μB per atom

Cell lengths 3.920, 3.920, 7.685 Å; angles 90.00, 90.00, 90.00 degrees
Space group I4/mmm (No. 139)
One atom of each set of equivalent atoms:
Fe 0.000 0.000 0.000
Pt 0.000 0.500 0.250
Au 0.000 0.000 0.500


(3)
Here is crystalline Re2NiAs at its relaxed geometry from Alexandria. Energies are from GGA-PBEsol.

Results
energy of formation = 138 meV per atom
E = -74.753 eV for the cell shown
DOS at the Fermi energy = 0.686 states/eV/atom
size of the total moment = 0.00 μB per atom

Cell lengths 3.694, 2.852, 10.664 Å; angles 90.00, 90.00, 90.00 degrees
Space group Amm2 (No. 38)
One atom of each set of equivalent atoms:
Re 0.000 0.000 0.000
Re 0.500 0.000 0.387
Ni 0.500 0.000 0.648
As 0.000 0.000 0.223


(4)
Here is crystalline Be2AgCl at its relaxed geometry from Alexandria. Energies are from GGA-PBEsol.

Results
distance to the lowest polymorph of the same formula = 363 meV/atom
E = -22.903 eV for the cell shown
DOS at the Fermi energy = 0.408 states/eV/atom
ΔE_f (raw) = 467 meV per atom
size of the total moment = 0.00 μB per atom

Cell lengths 3.257, 3.257, 11.289 Å; angles 90.00, 90.00, 90.00 degrees
Space group I-4m2 (No. 119)
One atom of each set of equivalent atoms:
Be 0.000 0.000 0.000
Be 0.000 0.500 0.250
Ag 0.000 0.500 0.750
Cl 0.000 0.000 0.500


(5)
Here is crystalline K2ZnSbTe at its relaxed geometry from Alexandria. Energies are from GGA-PBEsol.

Results
E = -12.128 eV for the cell shown
DOS at the Fermi energy = 1.497 states/eV/atom
ΔE_f (raw) = -39 meV per atom
size of the total moment = 0.13 μB per atom

Cell lengths 6.630, 6.630, 4.732 Å; angles 90.00, 90.00, 90.00 degrees
Space group P4/mmm (No. 123)
One atom of each set of equivalent atoms:
K 0.000 0.500 0.000
Zn 0.000 0.000 0.500
Sb 0.000 0.000 0.000
Te 0.500 0.500 0.500


(6)
Here is crystalline Zn8Cr at its relaxed geometry from Alexandria. Energies are from GGA-PBEsol.

Results
energy of formation = 56 meV per atom
E = -44.785 eV for the cell shown
DOS at the Fermi energy = 0.309 states/eV/atom
size of the total moment = 0.36 μB per atom

Cell lengths 8.059, 8.059, 3.825 Å; angles 90.00, 90.00, 90.00 degrees
Space group I4/mmm (No. 139)
One atom of each set of equivalent atoms:
Zn 0.000 0.334 0.000
Zn 0.167 0.167 0.500
Cr 0.000 0.000 0.000


(7)
Here is crystalline ScCoMo2 at its relaxed geometry from Alexandria. Energies are from GGA-PBEsol.

Results
energy of formation = 35 meV per atom
distance to the lowest polymorph of the same formula = 0 meV/atom
E = -150.950 eV for the cell shown
DOS at the Fermi energy = 0.610 states/eV/atom
size of the total moment = 0.04 μB per atom

Cell lengths 6.171, 6.171, 6.171 Å; angles 90.00, 90.00, 90.00 degrees
Space group F-43m (No. 216)
One atom of each set of equivalent atoms:
Sc 0.000 0.000 0.000
Co 0.250 0.250 0.750
Mo 0.000 0.000 0.500
Mo 0.250 0.250 0.250


(8)
Here is crystalline BaC3 at its relaxed geometry from Alexandria. Energies are from GGA-PBEsol.

Results
energy of formation = 988 meV per atom
distance to the lowest polymorph of the same formula = 0 meV/atom
E = -108.507 eV for the cell shown
size of the total moment = 0.00 μB per atom

Cell lengths 6.725, 10.480, 5.602 Å; angles 90.00, 90.00, 90.00 degrees
Space group Cmcm (No. 63)
One atom of each set of equivalent atoms:
Ba 0.000 0.232 0.250
C 0.000 0.034 0.750
C 0.106 0.152 0.750


(9)
Here is crystalline Ta2AsOs at its relaxed geometry from Alexandria. Energies are from GGA-PBEsol.

Results
energy of formation = -68 meV per atom
E = -85.391 eV for the cell shown
DOS at the Fermi energy = 0.417 states/eV/atom
size of the total moment = 0.00 μB per atom

Cell lengths 3.735, 3.735, 9.152 Å; angles 90.00, 90.00, 90.00 degrees
Space group I-4m2 (No. 119)
One atom of each set of equivalent atoms:
Ta 0.000 0.000 0.000
Ta 0.000 0.500 0.250
As 0.000 0.000 0.500
Os 0.000 0.500 0.750


(10)
Here is crystalline NbTc3Pd at its relaxed geometry from Alexandria. Energies are from GGA-PBEsol.

Results
energy of formation = 1969 meV per atom
E = -40.732 eV for the cell shown
DOS at the Fermi energy = 1.289 states/eV/atom
size of the total moment = 0.00 μB per atom

Cell lengths 4.593, 4.593, 4.593 Å; angles 90.00, 90.00, 90.00 degrees
Space group Pm-3m (No. 221)
One atom of each set of equivalent atoms:
Nb 0.000 0.000 0.000
Tc 0.000 0.000 0.500
Pd 0.500 0.500 0.500


(11)
Here is crystalline Ce3AlFeS7 at its relaxed geometry from Alexandria. Energies are from GGA-PBEsol.

Results
E = -164.671 eV for the cell shown
DOS at the Fermi energy = 1.289 states/eV/atom
ΔE_f (raw) = -1567 meV per atom
size of the total moment = 0.34 μB per atom

Cell lengths 9.5733, 9.5733, 6.0165 Å; angles 90.00, 90.00, 120.00 degrees
Space group P6_3 (No. 173)
One atom of each set of equivalent atoms:
Ce 0.1607 0.7925 0.0000
Al 0.3333 0.6667 0.5761
Fe 0.0000 0.0000 0.1761
S 0.0838 0.5262 0.7196
S 0.1020 0.8718 0.4237
S 0.3333 0.6667 0.2085


(12)
Here is crystalline Tm3AlN at its relaxed geometry from Alexandria. Energies are from GGA-PBEsol.

Results
E = -32.538 eV for the cell shown
DOS at the Fermi energy = 0.343 states/eV/atom
ΔE_f (raw) = -1045 meV per atom
size of the total moment = 0.00 μB per atom

Cell lengths 4.631, 4.631, 4.631 Å; angles 90.00, 90.00, 90.00 degrees
Space group Pm-3m (No. 221)
One atom of each set of equivalent atoms:
Tm 0.000 0.000 0.500
Al 0.500 0.500 0.500
N 0.000 0.000 0.000